(1)
The following is a DFT calculation (PBE) of a geometry-optimized MnInOs2 structure.

abc: 3.867 2.841 6.366
angles: 63.51 90.00 90.00
Site moments in Bohr magnetons follow the coordinates.
Element x y z (fractional)
In  0.000  0.493  0.507  -0.05
Mn  0.500  0.730  0.770  3.10
Os  0.000  0.992  0.008  -0.03
Os  0.500  0.285  0.215  0.06

Properties
Space-group type = Pmm2, No. 25
E = -8.287 eV per atom
ΔE_f = 0.305 eV/atom


(2)
The following is a DFT calculation (PBE) of a geometry-optimized MnIn2Os structure.

abc: 4.710 4.710 3.207
angles: 90.00 90.00 101.76
Site moments in Bohr magnetons follow the coordinates.
Element x y z (fractional)
In  0.000  0.000  0.000  -0.06
In  0.500  0.500  0.000  -0.06
Mn  0.500  0.000  0.500  3.35
Os  0.000  0.500  0.500  0.15

Properties
Space-group type = Cmmm, No. 65
E = -6.071 eV per atom
ΔE_f = 0.398 eV/atom


(3)
The following is a DFT calculation (PBE) of a geometry-optimized MnIn3Os structure.

abc: 4.951 4.951 4.951
angles: 90.00 90.00 90.00
Site moments in Bohr magnetons follow the coordinates.
Element x y z (fractional)
Mn  0.000  0.000  0.000  2.41
Os  0.500  0.500  0.500  2.34
In  0.000  0.500  0.000  -0.05
In  0.000  0.000  0.500  -0.04
In  0.500  0.000  0.000  -0.07

Properties
Space-group type = Pm-3m, No. 221
E = -4.433 eV per atom
ΔE_f = 1.290 eV/atom
Excess energy over the best structure of this formula in the dataset = 617 meV per atom


(4)
The following is a DFT calculation (PBE) of a geometry-optimized Mn2InOs structure.

abc: 8.894 8.894 8.894
angles: 18.75 18.75 18.75
Site moments in Bohr magnetons follow the coordinates.
Element x y z (fractional)
In  0.750  0.750  0.750  -0.10
Mn  0.993  0.993  0.993  3.19
Mn  0.507  0.507  0.507  3.19
Os  0.250  0.250  0.250  -0.08

Properties
Space-group type = R-3m, No. 166
E = -7.707 eV per atom
ΔE_f = 0.370 eV/atom